# LaSmPt (GGA-PBE, optimized geometry)
# - energy above the lowest structure with this stoichiometry (kcal/mol of atoms) = 0.00
# - ΔH_f (0 K) (eV/atom) = -0.8005
# - M_tot (μB/cell) = 0.0
data_LaSmPt
_chemical_formula_sum 'La2 Sm2 Pt2'
_symmetry_space_group_name_H-M 'P 4/n m m'
_symmetry_Int_Tables_number 129
_cell_length_a 4.9332
_cell_length_b 4.9332
_cell_length_c 7.1473
_cell_angle_alpha 90.00
_cell_angle_beta 90.00
_cell_angle_gamma 90.00
loop_
_symmetry_equiv_pos_as_xyz
'x,y,z'
'-x,-y,-z'
'-y+1/2,x,z'
'y+1/2,-x,-z'
'-x+1/2,-y+1/2,z'
'x+1/2,y+1/2,-z'
'y,-x+1/2,z'
'-y,x+1/2,-z'
'x+1/2,-y,-z'
'-x+1/2,y,z'
'-y,-x,-z'
'y,x,z'
'-x,y+1/2,-z'
'x,-y+1/2,z'
'y+1/2,x+1/2,-z'
'-y+1/2,-x+1/2,z'
loop_
_atom_site_label
_atom_site_fract_x
_atom_site_fract_y
_atom_site_fract_z
La1 0.2500 0.2500 0.1143
Sm1 0.2500 0.7500 0.5000
Pt1 0.2500 0.2500 0.7218